Computed, not measured: crystalline KLa3Hf at its relaxed geometry at the GGA-PBE level of DFT.

Calculated values
Offset from the most stable computed form, eV/f.u.: 0.00
Energy of formation from the pure elements, eV per atom: 0.519
Calculated volume, Å³ per atom: 43.85
SG: Pm-3m (221)

Unit cell a=6.030 b=6.030 c=6.030 alpha=90.00 beta=90.00 gamma=90.00
Fractional coordinates of all 5 atoms:
1 K 0.000 0.000 0.000
2 La 0.000 0.500 0.500
3 La 0.500 0.000 0.500
4 La 0.500 0.500 0.000
5 Hf 0.500 0.500 0.500

***

Computed, not measured: crystalline MnCo2Rh at its relaxed geometry at the GGA-PBE level of DFT.

Calculated values
Energy of formation from the pure elements, eV per atom: 0.081
Calculated volume, Å³ per atom: 12.42
SG: P2/m (10)

Unit cell a=4.398 b=2.660 c=4.449 alpha=90.00 beta=107.41 gamma=90.00
Fractional coordinates of all 4 atoms:
1 Mn 0.000 0.000 0.000
2 Co 0.000 0.500 0.500
3 Co 0.500 0.000 0.500
4 Rh 0.500 0.500 0.000

***

Computed, not measured: crystalline Nb2PdPt2 at its relaxed geometry at the GGA-PBE level of DFT.

Calculated values
Offset from the most stable computed form, eV/f.u.: 0.40
Energy of formation from the pure elements, eV per atom: -0.447
Calculated volume, Å³ per atom: 17.35
SG: P4/mbm (127)

Unit cell a=7.797 b=7.797 c=2.854 alpha=90.00 beta=90.00 gamma=90.00
Fractional coordinates of all 10 atoms:
1 Nb 0.170 0.330 0.000
2 Nb 0.330 0.830 0.000
3 Nb 0.670 0.170 0.000
4 Nb 0.830 0.670 0.000
5 Pd 0.000 0.000 0.500
6 Pd 0.500 0.500 0.500
7 Pt 0.127 0.627 0.500
8 Pt 0.373 0.127 0.500
9 Pt 0.627 0.873 0.500
10 Pt 0.873 0.373 0.500

***

no.,theoretical density (g/cm3),Fermi-level density of states (states/eV per cell),calculated total energy (eV/atom)
1,4.80,5.0,-4.648
2,9.22,6.9,-7.602
3,13.06,7.0,-7.930